Compound: KCaSc2
Source: the Alexandria database
Functional: PBE
Structure: relaxed

Cell: 6.1659 6.1659 3.6208 Å, 90.00 90.00 90.00°
Last column: nearest neighbours and their distance in Å.
Fractional coordinates of all 4 atoms:
1 Ca 0.5000 0.0000 0.5000  8 Sc 3.58, 2 Ca 3.62
2 K 0.0000 0.5000 0.5000  8 Sc 3.58, 2 K 3.62
3 Sc 0.0000 0.0000 0.0000  4 K 3.58, 4 Ca 3.58, 2 Sc 3.62
4 Sc 0.5000 0.5000 0.0000  4 K 3.58, 4 Ca 3.58, 2 Sc 3.62

Values from the calculation:
Its symmetry is P4/mmm. For the formation energy, the calculation gives 0.66 eV/atom. The magnetization comes out at 1.381 μB per formula unit. The offset from the most stable computed form comes out at 391 meV per atom.

---

Compound: KCaSc2
Source: the Alexandria database
Functional: PBE
Structure: relaxed

Cell: 12.9418 12.9418 12.9418 Å, 15.53 15.53 15.53°
Last column: nearest neighbours and their distance in Å.
Fractional coordinates of all 4 atoms:
1 Ca 0.2500 0.2500 0.2500  6 Ca 3.50, 6 Sc 3.56
2 K 0.7500 0.7500 0.7500  6 K 3.50
3 Sc 0.9932 0.9932 0.9932  6 Sc 3.50, 3 Ca 3.56
4 Sc 0.5068 0.5068 0.5068  6 Sc 3.50, 3 Ca 3.56

Values from the calculation:
Its symmetry is R-3m. For the formation energy, the calculation gives 0.46 eV/atom. The magnetization comes out at 1.296 μB per formula unit. The offset from the most stable computed form comes out at 188 meV per atom.

---

Compound: KCaSc2
Source: the Alexandria database
Functional: PBE
Structure: relaxed

Cell: 6.3870 6.3870 6.8115 Å, 85.31 85.31 31.11°
Last column: nearest neighbours and their distance in Å.
Fractional coordinates of all 4 atoms:
1 Ca 0.7500 0.7500 0.7500  2 Ca 3.43, 6 Sc 3.49-3.64, 4 K 3.81
2 K 0.2500 0.2500 0.2500  2 K 3.43, 4 Ca 3.81, 2 Sc 3.82
3 Sc 0.0033 0.0033 0.9451  4 Sc 3.17-3.43, 1 Ca 3.49
4 Sc 0.4967 0.4967 0.5549  4 Sc 3.17-3.43, 1 Ca 3.49

Values from the calculation:
Its symmetry is C2/m. For the formation energy, the calculation gives 0.51 eV/atom. The magnetization comes out at 1.429 μB per formula unit. The offset from the most stable computed form comes out at 236 meV per atom.

---

Compound: KCaSc2
Source: the Alexandria database
Functional: PBE
Structure: relaxed

Cell: 6.7371 6.7371 3.4236 Å, 90.00 90.00 118.01°
Last column: nearest neighbours and their distance in Å.
Fractional coordinates of all 4 atoms:
1 Ca 0.5000 0.0000 0.5000  2 Ca 3.42, 2 K 3.47, 8 Sc 3.78
2 K 0.0000 0.5000 0.5000  2 K 3.42, 2 Ca 3.47, 8 Sc 3.78
3 Sc 0.0000 0.0000 0.0000  4 Sc 3.42-3.47, 4 K 3.78, 4 Ca 3.78
4 Sc 0.5000 0.5000 0.0000  4 Sc 3.42-3.47, 4 Ca 3.78, 4 K 3.78

Values from the calculation:
Its symmetry is Cmmm. For the formation energy, the calculation gives 0.59 eV/atom. The magnetization comes out at 1.767 μB per formula unit. The offset from the most stable computed form comes out at 323 meV per atom.

---

Compound: KCa2Sc
Source: the Alexandria database
Functional: PBE
Structure: relaxed

Cell: 6.1117 6.1117 6.1117 Å, 60.00 60.00 60.00°
Last column: nearest neighbours and their distance in Å.
Fractional coordinates of all 4 atoms:
1 Ca 0.0000 0.0000 0.0000  4 Ca 3.74, 4 Sc 3.74
2 Ca 0.2500 0.2500 0.2500  4 K 3.74, 4 Ca 3.74
3 K 0.5000 0.5000 0.5000  4 Sc 3.74, 4 Ca 3.74
4 Sc 0.7500 0.7500 0.7500  4 Ca 3.74, 4 K 3.74

Values from the calculation:
Its symmetry is F-43m. For the formation energy, the calculation gives 0.47 eV/atom. The magnetization comes out at 1.212 μB per formula unit. The offset from the most stable computed form comes out at 244 meV per atom.

---

Compound: KCa2Sc
Source: the Alexandria database
Functional: PBE
Structure: relaxed

Cell: 7.4817 7.4817 7.4817 Å, 149.87 129.65 59.81°
Last column: nearest neighbours and their distance in Å.
Fractional coordinates of all 4 atoms:
1 Ca 0.0190 0.0190 0.0000  2 Sc 3.46, 4 K 3.75
2 Ca 0.7545 0.2545 0.5000  4 Sc 3.74, 4 Ca 3.89-3.94, 2 K 3.97
3 K 0.4874 0.4874 0.0000  6 Ca 3.75-3.97, 2 Sc 3.76, 2 K 3.89
4 Sc 0.2392 0.7392 0.5000  6 Ca 3.46-3.74, 2 K 3.76

Values from the calculation:
Its symmetry is Imm2. For the formation energy, the calculation gives 0.39 eV/atom. The magnetization comes out at 1.533 μB per formula unit. The offset from the most stable computed form comes out at 172 meV per atom.

---

Compound: KCaSc2
Source: the Alexandria database
Functional: PBE
Structure: relaxed

Cell: 13.1208 13.1208 13.1208 Å, 15.20 15.20 15.20°
Last column: nearest neighbours and their distance in Å.
Fractional coordinates of all 4 atoms:
1 Sc 0.9091 0.9091 0.9091  6 Sc 3.47, 1 K 3.54, 3 Ca 3.56
2 Sc 0.0909 0.0909 0.0909  6 Sc 3.47, 1 K 3.54, 3 Ca 3.56
3 Ca 0.5000 0.5000 0.5000  6 Ca 3.47, 6 Sc 3.56
4 K 0.0000 0.0000 0.0000  6 K 3.47, 2 Sc 3.54

Values from the calculation:
Its symmetry is R-3m. For the formation energy, the calculation gives 0.48 eV/atom. The magnetization comes out at 1.763 μB per formula unit. The offset from the most stable computed form comes out at 212 meV per atom.

---

Compound: KCaSc2
Source: the Alexandria database
Functional: PBE
Structure: relaxed

Cell: 6.0553 6.0553 7.1425 Å, 83.20 83.20 32.94°
Last column: nearest neighbours and their distance in Å.
Fractional coordinates of all 4 atoms:
1 Ca 0.4916 0.4916 0.5324  2 Ca 3.43, 5 Sc 3.47-3.65, 1 K 3.63
2 K 0.2541 0.2541 0.2453  2 K 3.43, 1 Ca 3.63, 3 Sc 3.69-3.80
3 Sc 0.0159 0.0159 0.9472  5 Sc 3.22-3.59, 2 Ca 3.47
4 Sc 0.7383 0.7383 0.7751  5 Sc 3.22-3.59, 1 Ca 3.53

Values from the calculation:
Its symmetry is Cm. For the formation energy, the calculation gives 0.49 eV/atom. The magnetization comes out at 1.756 μB per formula unit. The offset from the most stable computed form comes out at 216 meV per atom.